The following is a DFT calculation (SCAN) of TaNiNF2 at its PBEsol-relaxed geometry.

```
data_TaNiNF2
_chemical_formula_sum 'Ta1 Ni1 N1 F2'
_cell_length_a 4.004
_cell_length_b 4.004
_cell_length_c 4.002
_cell_angle_alpha 90.00
_cell_angle_beta 90.00
_cell_angle_gamma 90.00
_symmetry_space_group_name_H-M 'P 4/m m m'
_symmetry_Int_Tables_number 123
_symmetry_space_group_name_Hall '-P 4 2'
loop_
_atom_site_label
_atom_site_fract_x
_atom_site_fract_y
_atom_site_fract_z
Ta1 0.000 0.000 0.000
Ni1 0.500 0.500 0.500
N1 0.000 0.000 0.500
F1 0.000 0.500 0.000
```

Results
Total magnetic moment   0.90 μB per formula unit
V   64.15 Å³/f.u.
DFT total energy   -20.793 eV/atom